# Li2InAu2 | Alexandria via LeMat-Bulk | PBE-GGA | relaxed
data_Li2InAu2
_chemical_formula_sum 'Li4 In2 Au4'
_space_group_name_H-M_alt 'P 1'
_space_group_IT_number 1
_space_group_name_Hall 'P 1'
_cell_length_a 7.5557
_cell_length_b 7.5557
_cell_length_c 3.0251
_cell_angle_alpha 90.00
_cell_angle_beta 90.00
_cell_angle_gamma 90.00
loop_
_atom_site_label
_atom_site_type_symbol
_atom_site_fract_x
_atom_site_fract_y
_atom_site_fract_z
Li1 Li 0.3701 0.8701 0.0000
Li2 Li 0.8701 0.6299 0.0000
Li3 Li 0.6299 0.1299 0.0000
Li4 Li 0.1299 0.3701 0.0000
Au1 Au 0.1618 0.6618 0.5000
Au2 Au 0.6618 0.8382 0.5000
Au3 Au 0.8382 0.3382 0.5000
Au4 Au 0.3382 0.1618 0.5000
In1 In 0.0000 0.0000 0.0000
In2 In 0.5000 0.5000 0.0000
# Formation energy from the elements, meV/atom: -397
# Offset from the most stable computed form, meV per atom: 52.9



# LiInAu6 | Alexandria via LeMat-Bulk | PBE-GGA | relaxed
data_LiInAu6
_chemical_formula_sum 'Li1 In1 Au6'
_space_group_name_H-M_alt 'P 1'
_space_group_IT_number 1
_space_group_name_Hall 'P 1'
_cell_length_a 4.2768
_cell_length_b 4.2768
_cell_length_c 7.8773
_cell_angle_alpha 90.00
_cell_angle_beta 90.00
_cell_angle_gamma 90.00
loop_
_atom_site_label
_atom_site_type_symbol
_atom_site_fract_x
_atom_site_fract_y
_atom_site_fract_z
Li1 Li 0.0000 0.0000 0.5000
In1 In 0.0000 0.0000 0.0000
Au1 Au 0.5000 0.5000 0.0000
Au2 Au 0.5000 0.5000 0.5000
Au3 Au 0.5000 0.0000 0.2601
Au4 Au 0.5000 0.0000 0.7399
Au5 Au 0.0000 0.5000 0.2601
Au6 Au 0.0000 0.5000 0.7399
# Formation energy from the elements, meV/atom: -220
# Offset from the most stable computed form, meV per atom: 27.4



# Li5In2Au | Alexandria via LeMat-Bulk | PBE-GGA | relaxed
data_Li5In2Au
_chemical_formula_sum 'Li5 In2 Au1'
_space_group_name_H-M_alt 'P 1'
_space_group_IT_number 1
_space_group_name_Hall 'P 1'
_cell_length_a 4.6865
_cell_length_b 4.6865
_cell_length_c 7.1528
_cell_angle_alpha 109.12
_cell_angle_beta 109.12
_cell_angle_gamma 90.00
loop_
_atom_site_label
_atom_site_type_symbol
_atom_site_fract_x
_atom_site_fract_y
_atom_site_fract_z
Li1 Li 0.5000 0.5000 0.0000
Li2 Li 0.8840 0.3840 0.7680
Li3 Li 0.3840 0.8840 0.7680
Li4 Li 0.1160 0.6160 0.2320
Li5 Li 0.6160 0.1160 0.2320
In1 In 0.7547 0.7547 0.5095
In2 In 0.2453 0.2453 0.4905
Au1 Au 0.0000 0.0000 0.0000
# Formation energy from the elements, meV/atom: -335



# Li3In2Au4 | Alexandria via LeMat-Bulk | PBE-GGA | relaxed
data_Li3In2Au4
_chemical_formula_sum 'Li3 In2 Au4'
_space_group_name_H-M_alt 'P 1'
_space_group_IT_number 1
_space_group_name_Hall 'P 1'
_cell_length_a 4.3532
_cell_length_b 4.7490
_cell_length_c 8.8205
_cell_angle_alpha 83.24
_cell_angle_beta 89.99
_cell_angle_gamma 62.72
loop_
_atom_site_label
_atom_site_type_symbol
_atom_site_fract_x
_atom_site_fract_y
_atom_site_fract_z
Li1 Li 0.3421 0.3154 0.4329
Li2 Li 0.0000 0.0000 0.0000
Li3 Li 0.6579 0.6846 0.5671
In1 In 0.3261 0.3482 0.7745
In2 In 0.6739 0.6518 0.2255
Au1 Au 0.6607 0.6788 0.8985
Au2 Au 0.0119 0.9758 0.3434
Au3 Au 0.9881 0.0242 0.6566
Au4 Au 0.3393 0.3212 0.1015
# Formation energy from the elements, meV/atom: -439
# Offset from the most stable computed form, meV per atom: 0.0



# Li2InAu | Alexandria via LeMat-Bulk | PBE-GGA | relaxed
data_Li2InAu
_chemical_formula_sum 'Li2 In1 Au1'
_space_group_name_H-M_alt 'P 1'
_space_group_IT_number 1
_space_group_name_Hall 'P 1'
_cell_length_a 8.8839
_cell_length_b 8.8839
_cell_length_c 8.8839
_cell_angle_alpha 21.66
_cell_angle_beta 21.66
_cell_angle_gamma 21.66
loop_
_atom_site_label
_atom_site_type_symbol
_atom_site_fract_x
_atom_site_fract_y
_atom_site_fract_z
Au1 Au 0.5035 0.5035 0.5035
In1 In 0.7534 0.7534 0.7534
Li1 Li 0.0033 0.0033 0.0033
Li2 Li 0.2398 0.2398 0.2398
# Formation energy from the elements, meV/atom: -161



# Li2In2Au | Alexandria via LeMat-Bulk | PBE-GGA | relaxed
data_Li2In2Au
_chemical_formula_sum 'Li2 In2 Au1'
_space_group_name_H-M_alt 'P 1'
_space_group_IT_number 1
_space_group_name_Hall 'P 1'
_cell_length_a 3.7183
_cell_length_b 3.7183
_cell_length_c 7.7536
_cell_angle_alpha 76.13
_cell_angle_beta 76.13
_cell_angle_gamma 90.00
loop_
_atom_site_label
_atom_site_type_symbol
_atom_site_fract_x
_atom_site_fract_y
_atom_site_fract_z
Li1 Li 0.7500 0.2500 0.5000
Li2 Li 0.2500 0.7500 0.5000
Au1 Au 0.0000 0.0000 0.0000
In1 In 0.3985 0.3985 0.2030
In2 In 0.6015 0.6015 0.7970
# Formation energy from the elements, meV/atom: -140



# LiIn3Au | Alexandria via LeMat-Bulk | PBE-GGA | relaxed
data_LiIn3Au
_chemical_formula_sum 'Li2 In6 Au2'
_space_group_name_H-M_alt 'P 1'
_space_group_IT_number 1
_space_group_name_Hall 'P 1'
_cell_length_a 6.7579
_cell_length_b 6.7579
_cell_length_c 7.3851
_cell_angle_alpha 103.39
_cell_angle_beta 132.13
_cell_angle_gamma 90.80
loop_
_atom_site_label
_atom_site_type_symbol
_atom_site_fract_x
_atom_site_fract_y
_atom_site_fract_z
Li1 Li 0.7200 0.0634 0.7833
Li2 Li 0.2800 0.9366 0.2167
In1 In 0.7868 0.9332 0.1950
In2 In 0.2618 0.4082 0.1950
In3 In 0.7382 0.5918 0.8050
In4 In 0.7796 0.4122 0.1918
In5 In 0.2132 0.0668 0.8050
In6 In 0.2204 0.5878 0.8082
Au1 Au 0.7132 0.7502 0.4635
Au2 Au 0.2868 0.2498 0.5365
# Formation energy from the elements, meV/atom: -205
# Offset from the most stable computed form, meV per atom: 49.0



# LiIn3Au6 | Alexandria via LeMat-Bulk | PBE-GGA | relaxed
data_LiIn3Au6
_chemical_formula_sum 'Li2 In6 Au12'
_space_group_name_H-M_alt 'P 1'
_space_group_IT_number 1
_space_group_name_Hall 'P 1'
_cell_length_a 8.1409
_cell_length_b 7.1485
_cell_length_c 7.1485
_cell_angle_alpha 94.83
_cell_angle_beta 90.00
_cell_angle_gamma 90.00
loop_
_atom_site_label
_atom_site_type_symbol
_atom_site_fract_x
_atom_site_fract_y
_atom_site_fract_z
Li1 Li 0.0766 0.2331 0.7669
Li2 Li 0.5766 0.7669 0.2331
In1 In 0.4335 0.9600 0.7053
In2 In 0.9335 0.7053 0.9600
In3 In 0.3766 0.4701 0.5299
In4 In 0.8766 0.5299 0.4701
In5 In 0.9335 0.0400 0.2947
In6 In 0.4335 0.2947 0.0400
Au1 Au 0.0976 0.8184 0.6395
Au2 Au 0.5976 0.6395 0.8184
Au3 Au 0.2571 0.5765 0.8951
Au4 Au 0.7571 0.8951 0.5765
Au5 Au 0.2095 0.9879 0.0121
Au6 Au 0.7461 0.2856 0.7144
Au7 Au 0.2461 0.7144 0.2856
Au8 Au 0.7095 0.0121 0.9879
Au9 Au 0.2571 0.1049 0.4235
Au10 Au 0.7571 0.4235 0.1049
Au11 Au 0.0976 0.3605 0.1816
Au12 Au 0.5976 0.1816 0.3605
# Formation energy from the elements, meV/atom: -200
# Offset from the most stable computed form, meV per atom: 0.0



# Li2In3Au | Alexandria via LeMat-Bulk | PBE-GGA | relaxed
data_Li2In3Au
_chemical_formula_sum 'Li2 In3 Au1'
_space_group_name_H-M_alt 'P 1'
_space_group_IT_number 1
_space_group_name_Hall 'P 1'
_cell_length_a 3.1968
_cell_length_b 4.8497
_cell_length_c 8.4584
_cell_angle_alpha 90.00
_cell_angle_beta 90.00
_cell_angle_gamma 90.00
loop_
_atom_site_label
_atom_site_type_symbol
_atom_site_fract_x
_atom_site_fract_y
_atom_site_fract_z
Li1 Li 0.0000 0.5000 0.0342
Li2 Li 0.0000 0.0000 0.4795
In1 In 0.5000 0.0000 0.8339
In2 In 0.5000 0.0000 0.1760
In3 In 0.5000 0.5000 0.6504
Au1 Au 0.5000 0.5000 0.3259
# Formation energy from the elements, meV/atom: -258



# Li8InAu2 | Alexandria via LeMat-Bulk | PBE-GGA | relaxed
data_Li8InAu2
_chemical_formula_sum 'Li8 In1 Au2'
_space_group_name_H-M_alt 'P 1'
_space_group_IT_number 1
_space_group_name_Hall 'P 1'
_cell_length_a 4.5003
_cell_length_b 7.3950
_cell_length_c 7.1929
_cell_angle_alpha 120.93
_cell_angle_beta 108.23
_cell_angle_gamma 90.00
loop_
_atom_site_label
_atom_site_type_symbol
_atom_site_fract_x
_atom_site_fract_y
_atom_site_fract_z
Li1 Li 0.6544 0.8526 0.3089
Li2 Li 0.3455 0.5437 0.6911
Li3 Li 0.1444 0.1444 0.2889
Li4 Li 0.0000 0.3173 0.0000
Li5 Li 0.8556 0.8556 0.7111
Li6 Li 0.6545 0.4563 0.3089
Li7 Li 0.3456 0.1474 0.6911
Li8 Li 0.0000 0.6827 0.0000
In1 In 0.5000 0.0000 0.0000
Au1 Au 0.2132 0.7132 0.4264
Au2 Au 0.7868 0.2868 0.5736
# Formation energy from the elements, meV/atom: -334
# Offset from the most stable computed form, meV per atom: 0.0



# Li5In2Au5 | Alexandria via LeMat-Bulk | PBE-GGA | relaxed
data_Li5In2Au5
_chemical_formula_sum 'Li5 In2 Au5'
_space_group_name_H-M_alt 'P 1'
_space_group_IT_number 1
_space_group_name_Hall 'P 1'
_cell_length_a 4.0374
_cell_length_b 8.5772
_cell_length_c 6.6383
_cell_angle_alpha 97.38
_cell_angle_beta 72.30
_cell_angle_gamma 76.39
loop_
_atom_site_label
_atom_site_type_symbol
_atom_site_fract_x
_atom_site_fract_y
_atom_site_fract_z
Li1 Li 0.6857 0.2286 0.4000
Li2 Li 0.0200 0.2250 0.7349
Li3 Li 0.9800 0.7750 0.2651
Li4 Li 0.3143 0.7714 0.6000
Li5 Li 0.0000 0.0000 0.0000
In1 In 0.3472 0.4952 0.8103
In2 In 0.6528 0.5048 0.1897
Au1 Au 0.0000 0.5000 0.5000
Au2 Au 0.6551 0.7557 0.9340
Au3 Au 0.3323 0.0026 0.3327
Au4 Au 0.6677 0.9974 0.6673
Au5 Au 0.3449 0.2443 0.0660
# Formation energy from the elements, meV/atom: -449
# Offset from the most stable computed form, meV per atom: 3.2



# Li2InAu2 | Alexandria via LeMat-Bulk | PBE-GGA | relaxed
data_Li2InAu2
_chemical_formula_sum 'Li4 In2 Au4'
_space_group_name_H-M_alt 'P 1'
_space_group_IT_number 1
_space_group_name_Hall 'P 1'
_cell_length_a 7.3392
_cell_length_b 7.3392
_cell_length_c 3.3855
_cell_angle_alpha 90.00
_cell_angle_beta 90.00
_cell_angle_gamma 90.00
loop_
_atom_site_label
_atom_site_type_symbol
_atom_site_fract_x
_atom_site_fract_y
_atom_site_fract_z
Li1 Li 0.1575 0.6575 0.5000
Li2 Li 0.6575 0.8425 0.5000
Li3 Li 0.8425 0.3425 0.5000
Li4 Li 0.3425 0.1575 0.5000
Au1 Au 0.3609 0.8609 0.0000
Au2 Au 0.8609 0.6391 0.0000
Au3 Au 0.6391 0.1391 0.0000
Au4 Au 0.1391 0.3609 0.0000
In1 In 0.0000 0.0000 0.0000
In2 In 0.5000 0.5000 0.0000
# Formation energy from the elements, meV/atom: -446
# Offset from the most stable computed form, meV per atom: 4.2